Version P
Density functional theory data (PBE) for an optimized crystal structure of AlCr3P.

The value obtained for the volume is 73 Å³ per cell.

abc: 4.178 4.178 4.178
angles: 90.00 90.00 90.00
Atoms (fractional coordinates):
Al  0.500  0.500  0.500
Cr  0.500  0.000  0.000
Cr  0.000  0.500  0.000
Cr  0.000  0.000  0.500
P  0.000  0.000  0.000


Version Q
Density functional theory data (PBE) for an optimized crystal structure of AlCr3P.

The value obtained for the volume is 99 Å³ per cell.

abc: 4.619 4.619 4.619
angles: 90.00 90.00 90.00
Atoms (fractional coordinates):
Cr  0.500  0.000  0.000
Cr  0.000  0.000  0.500
Cr  0.000  0.500  0.000
P  0.500  0.500  0.500
Al  0.000  0.000  0.000


We find version P to be the most stable, with the next structure 961 meV per atom higher.


Version P
Density functional theory data (PBE) for an optimized crystal structure of PaAlCr.

The value obtained for the volume is 221 Å³ per cell.

abc: 4.735 6.502 7.190
angles: 90.00 90.00 90.00
Atoms (fractional coordinates):
Al  0.750  0.354  0.202
Al  0.250  0.854  0.298
Al  0.750  0.146  0.702
Al  0.250  0.646  0.798
Pa  0.250  0.198  0.970
Pa  0.750  0.802  0.030
Pa  0.750  0.698  0.530
Pa  0.250  0.302  0.470
Cr  0.750  0.004  0.367
Cr  0.750  0.496  0.867
Cr  0.250  0.504  0.133
Cr  0.250  0.996  0.633


Version Q
Density functional theory data (PBE) for an optimized crystal structure of PaAlCr.

The value obtained for the volume is 58 Å³ per cell.

abc: 3.122 4.612 4.612
angles: 120.00 90.00 90.00
Atoms (fractional coordinates):
Cr  0.499  0.667  0.333
Al  0.501  0.333  0.667
Pa  0.000  0.000  0.000


We find version P to be the most stable, with the next structure 192 meV per atom higher.